{"formula": "Li2Ni", "functional": "PBE-GGA", "state": "optimized geometry", "cell": [[3.6020, 2.0796, 5.8820], [-3.6020, 2.0796, 5.8820], [0.0000, -4.1592, 5.8820]], "species": ["Ni", "Li", "Ni", "Li", "Li", "Li"], "fractional_positions": [[0.2500, 0.2500, 0.2500], [0.8750, 0.3750, 0.3750], [0.5000, 0.5000, 0.5000], [0.3750, 0.8750, 0.3750], [0.3750, 0.3750, 0.8750], [0.3750, 0.3750, 0.3750]], "space_group": "Fd-3m, No. 227", "total_energy_ev_per_atom": -2.092}


{"formula": "Gd2YSn3IrPd2", "functional": "PBE-GGA", "state": "optimized geometry", "cell": [[3.9719, 0.0000, 0.0000], [0.0000, 6.5692, 3.7924], [0.0000, -6.5692, 3.7924]], "species": ["Y", "Gd", "Pd", "Gd", "Sn", "Sn", "Pd", "Sn", "Ir"], "fractional_positions": [[0.0000, 0.5989, 0.5989], [0.0000, 0.4023, 0.0001], [0.5000, 0.6662, 0.3334], [0.0000, 0.0001, 0.4023], [0.5000, 0.2571, 0.2571], [0.5000, 0.7430, 0.9993], [0.5000, 0.3334, 0.6662], [0.5000, 0.9993, 0.7430], [0.0000, 0.9996, 0.9996]], "space_group": "Amm2, No. 38", "total_energy_ev_per_atom": -6.141}


{"formula": "TbNdZnTe3", "functional": "PBE-GGA", "state": "optimized geometry", "cell": [[-4.4506, 5.8253, -3.0528], [4.1901, -6.6605, -1.0687], [-8.7361, -5.7722, 1.7216]], "species": ["Te", "Tb", "Te", "Tb", "Te", "Zn", "Nd", "Zn", "Te", "Te", "Nd", "Te"], "fractional_positions": [[0.8507, 0.1493, 0.4521], [0.5000, 0.5000, 0.5000], [0.6130, 0.3870, 0.2500], [0.5000, 0.5000, 0.0000], [0.3870, 0.6130, 0.7500], [0.0236, 0.9764, 0.7500], [0.2739, 0.7261, 0.2500], [0.9764, 0.0236, 0.2500], [0.1493, 0.8507, 0.5479], [0.1493, 0.8507, 0.9521], [0.7261, 0.2739, 0.7500], [0.8507, 0.1493, 0.0479]], "space_group": "Cmcm, No. 63", "total_energy_ev_per_atom": -4.344}


{"formula": "CdBPb", "functional": "PBE-GGA", "state": "optimized geometry", "cell": [[-0.1146, -1.7746, 4.1235], [0.8860, 2.5687, 3.5753], [-3.2987, 1.1177, 2.8346]], "species": ["Cd", "Pb", "B"], "fractional_positions": [[0.2500, 0.2500, 0.2500], [0.7500, 0.7500, 0.7500], [0.0000, 0.0000, 0.0000]], "space_group": "F-43m, No. 216", "total_energy_ev_per_atom": -2.839}


{"formula": "LiTcAgTe2Se", "functional": "PBE-GGA", "state": "optimized geometry", "cell": [[-0.4851, 6.7066, -2.3374], [-2.1600, -6.7680, -0.4530], [-7.3670, 1.8866, 6.9419]], "species": ["Te", "Ag", "Te", "Tc", "Li", "Li", "Se", "Te", "Se", "Te", "Tc", "Ag"], "fractional_positions": [[0.3550, 0.6450, 0.9838], [0.5582, 0.4418, 0.2500], [0.3550, 0.6450, 0.5162], [0.0000, 0.0000, 0.5000], [0.7443, 0.2557, 0.7500], [0.2557, 0.7443, 0.2500], [0.9240, 0.0760, 0.2500], [0.6450, 0.3550, 0.4838], [0.0760, 0.9240, 0.7500], [0.6450, 0.3550, 0.0162], [0.0000, 0.0000, 0.0000], [0.4418, 0.5582, 0.7500]], "space_group": "Cmcm, No. 63", "total_energy_ev_per_atom": -4.257}


{"formula": "MgCdAg2", "functional": "PBE-GGA", "state": "optimized geometry", "cell": [[6.3020, 0.0000, 0.0000], [0.0000, 6.3656, 0.0000], [0.0000, 0.0000, 7.5525]], "species": ["Cd", "Ag", "Mg", "Ag", "Ag", "Mg", "Ag", "Ag", "Ag", "Ag", "Cd", "Ag", "Cd", "Cd", "Mg", "Mg"], "fractional_positions": [[0.2499, 0.2500, 0.0000], [0.5000, 0.5000, 0.2499], [0.7501, 0.2500, 0.0000], [0.0000, 0.5000, 0.2501], [0.5000, 0.5000, 0.7501], [0.2501, 0.7500, 0.5000], [0.0000, 0.0000, 0.7499], [0.5000, 0.0000, 0.7501], [0.0000, 0.5000, 0.7499], [0.0000, 0.0000, 0.2501], [0.2501, 0.2500, 0.5000], [0.5000, 0.0000, 0.2499], [0.7501, 0.7500, 0.0000], [0.7499, 0.7500, 0.5000], [0.7499, 0.2500, 0.5000], [0.2499, 0.7500, 0.0000]], "space_group": "Cmmm, No. 65", "total_energy_ev_per_atom": -2.190}


{"formula": "HgIrSO", "functional": "PBE-GGA", "state": "optimized geometry", "cell": [[6.8631, 0.0000, 0.2548], [0.0000, 6.7215, 0.0000], [-0.5191, 0.0000, 5.9316]], "species": ["O", "O", "S", "Hg", "S", "Hg", "Ir", "Hg", "Hg", "S", "O", "Ir", "O", "S", "Ir", "Ir"], "fractional_positions": [[0.3864, 0.6296, 0.8975], [0.6136, 0.3704, 0.1025], [0.6848, 0.8938, 0.0796], [0.9516, 0.2099, 0.4852], [0.3152, 0.3938, 0.4204], [0.9516, 0.2901, 0.9852], [0.5119, 0.8725, 0.7426], [0.0484, 0.7099, 0.0148], [0.0484, 0.7901, 0.5148], [0.3152, 0.1062, 0.9204], [0.6136, 0.1296, 0.6025], [0.4881, 0.3725, 0.7574], [0.3864, 0.8704, 0.3975], [0.6848, 0.6062, 0.5796], [0.5119, 0.6275, 0.2426], [0.4881, 0.1275, 0.2574]], "space_group": "P2_1/c, No. 14", "total_energy_ev_per_atom": -4.793}


{"formula": "CuSnPd", "functional": "PBE-GGA", "state": "optimized geometry", "cell": [[2.1608, 1.2475, 3.5286], [-2.1608, 1.2475, 3.5286], [0.0000, -2.4951, 3.5286]], "species": ["Sn", "Cu", "Pd"], "fractional_positions": [[0.7500, 0.7500, 0.7500], [0.2500, 0.2500, 0.2500], [0.0000, 0.0000, 0.0000]], "space_group": "F-43m, No. 216", "total_energy_ev_per_atom": -4.480}